Record 1
# InCu2Ru

A relaxed InCu2Ru crystal (PBEsol, the Alexandria database).

* ΔE_f: 0.4 eV per formula unit
* D(E_F): 3.2 states/eV per cell
* mass density: 10.21 Mg/m³
* crystal system: tetragonal
* total magnetic moment: 0.0 Bohr magnetons per cell

a b c (Å): 3.823 3.823 3.815
angles (deg): 90.00 90.00 90.00
Fractional coordinates of all 4 atoms:
In  0.000  0.000  0.000
Cu  0.000  0.500  0.500
Cu  0.500  0.000  0.500
Ru  0.500  0.500  0.000



Record 2
# Ca3Mg

A relaxed Ca3Mg crystal (PBEsol, the Alexandria database).

* ΔE_f: -0.1 eV per formula unit
* D(E_F): 5.3 states/eV per cell
* mass density: 1.71 Mg/m³
* crystal system: cubic
* total magnetic moment: 0.0 Bohr magnetons per cell

a b c (Å): 5.202 5.202 5.202
angles (deg): 90.00 90.00 90.00
Fractional coordinates of all 4 atoms:
Ca  0.000  0.000  0.500
Ca  0.000  0.500  0.000
Ca  0.500  0.000  0.000
Mg  0.500  0.500  0.500



Record 3
# NdSmMg2

A relaxed NdSmMg2 crystal (PBEsol, the Alexandria database).

* ΔE_f: -0.4 eV per formula unit
* D(E_F): 4.0 states/eV per cell
* mass density: 5.14 Mg/m³
* crystal system: cubic
* total magnetic moment: 0.0 Bohr magnetons per cell

a b c (Å): 5.393 5.393 5.393
angles (deg): 60.00 60.00 60.00
Fractional coordinates of all 4 atoms:
Nd  0.000  0.000  0.000
Sm  0.500  0.500  0.500
Mg  0.250  0.250  0.250
Mg  0.750  0.750  0.750



Record 4
# TcAsPt

A relaxed TcAsPt crystal (PBEsol, the Alexandria database).

* ΔE_f: -0.1 eV per formula unit
* D(E_F): 2.4 states/eV per cell
* mass density: 12.71 Mg/m³
* crystal system: cubic
* total magnetic moment: 0.0 Bohr magnetons per cell

a b c (Å): 4.081 4.081 4.081
angles (deg): 60.00 60.00 60.00
Fractional coordinates of all 3 atoms:
Tc  0.000  0.000  0.000
As  0.250  0.250  0.250
Pt  0.500  0.500  0.500



Record 5
# ZrAs2Br

A relaxed ZrAs2Br crystal (PBEsol, the Alexandria database).

* D(E_F): 3.2 states/eV per cell
* mass density: 6.78 Mg/m³
* crystal system: tetragonal
* total magnetic moment: 0.0 Bohr magnetons per cell
* formation energy without anion corrections: -0.07 eV per formula unit

a b c (Å): 5.083 5.083 3.040
angles (deg): 90.00 90.00 90.00
Fractional coordinates of all 4 atoms:
Zr  0.000  0.000  0.000
As  0.000  0.500  0.500
As  0.500  0.000  0.500
Br  0.500  0.500  0.000



Record 6
# YBeSN2

A relaxed YBeSN2 crystal (PBEsol, the Alexandria database).

* D(E_F): 3.6 states/eV per cell
* mass density: 4.38 Mg/m³
* crystal system: tetragonal
* total magnetic moment: 0.0 Bohr magnetons per cell
* formation energy without anion corrections: -0.70 eV per formula unit

a b c (Å): 3.670 3.670 4.450
angles (deg): 90.00 90.00 90.00
Fractional coordinates of all 5 atoms:
Y  0.000  0.000  0.000
Be  0.500  0.500  0.500
S  0.500  0.500  0.000
N  0.000  0.500  0.500
N  0.500  0.000  0.500



Record 7
# YSe2

A relaxed YSe2 crystal (PBEsol, the Alexandria database).

* D(E_F): 0.6 states/eV per cell
* mass density: 6.20 Mg/m³
* crystal system: tetragonal
* total magnetic moment: 0.0 Bohr magnetons per cell
* formation energy without anion corrections: -4.92 eV per formula unit

a b c (Å): 4.013 4.013 8.207
angles (deg): 90.00 90.00 90.00
Fractional coordinates of all 6 atoms:
Y  0.250  0.250  0.227
Y  0.750  0.750  0.773
Se  0.250  0.250  0.870
Se  0.250  0.750  0.500
Se  0.750  0.250  0.500
Se  0.750  0.750  0.130



Record 8
# BaNaSbTe2

A relaxed BaNaSbTe2 crystal (PBEsol, the Alexandria database).

* D(E_F): 3.6 states/eV per cell
* mass density: 5.34 Mg/m³
* crystal system: tetragonal
* total magnetic moment: 0.0 Bohr magnetons per cell
* formation energy without anion corrections: -1.62 eV per formula unit

a b c (Å): 5.619 5.619 5.291
angles (deg): 90.00 90.00 90.00
Fractional coordinates of all 5 atoms:
Ba  0.000  0.000  0.000
Na  0.500  0.500  0.500
Sb  0.500  0.500  0.000
Te  0.000  0.500  0.500
Te  0.500  0.000  0.500